This record from Alexandria describes crystalline Ba7Sr12Ac at its relaxed geometry. The functional is PBE-GGA.

a b c (Å): 10.5698 10.5698 10.5698
angles (deg): 90.47 90.47 90.47
Fractional coordinates of all 20 atoms:
Ba 0.0000 0.0000 0.0000
Ba 0.1220 0.4493 0.3498
Ba 0.3498 0.1220 0.4493
Ba 0.4493 0.3498 0.1220
Ba 0.5507 0.6502 0.8780
Ba 0.6502 0.8780 0.5507
Ba 0.8780 0.5507 0.6502
Sr 0.0076 0.8842 0.3437
Sr 0.1158 0.6563 0.9924
Sr 0.2367 0.7546 0.6252
Sr 0.2454 0.3748 0.7633
Sr 0.3437 0.0076 0.8842
Sr 0.3748 0.7633 0.2454
Sr 0.6252 0.2367 0.7546
Sr 0.6563 0.9924 0.1158
Sr 0.7546 0.6252 0.2367
Sr 0.7633 0.2454 0.3748
Sr 0.8842 0.3437 0.0076
Sr 0.9924 0.1158 0.6563
Ac 0.5000 0.5000 0.5000

Properties
Symmetry   R-3
ΔE_f   2.0 eV per formula unit
E_tot   -1.79 eV/atom
Magnetization   0.0 μB/cell
Fermi-level density of states   27.5 states/eV/cell

=====

This record from Alexandria describes crystalline La5Sm2Dy4 at its relaxed geometry. The functional is PBE-GGA.

a b c (Å): 9.1704 9.1704 11.8019
angles (deg): 93.76 93.76 22.51
Fractional coordinates of all 11 atoms:
La 0.0000 0.0000 0.0000
La 0.3237 0.3237 0.9274
La 0.4044 0.4044 0.4660
La 0.5956 0.5956 0.5340
La 0.6763 0.6763 0.0726
Sm 0.2165 0.2165 0.3510
Sm 0.7835 0.7835 0.6490
Dy 0.1401 0.1401 0.7987
Dy 0.4662 0.4662 0.7389
Dy 0.5338 0.5338 0.2611
Dy 0.8599 0.8599 0.2013

Properties
Symmetry   C2/m
ΔE_f   0.8 eV per formula unit
E_tot   -4.70 eV/atom
Polymorph energy (0 for the lowest one)   0.000 eV per atom
Magnetization   0.0 μB/cell
Fermi-level density of states   16.3 states/eV/cell

=====

This record from Alexandria describes crystalline Cs12Rb5Ga2 at its relaxed geometry. The functional is PBE-GGA.

a b c (Å): 13.7828 13.7828 14.1328
angles (deg): 95.86 95.86 42.51
Fractional coordinates of all 19 atoms:
Cs 0.0025 0.0025 0.3408
Cs 0.1047 0.5898 0.0725
Cs 0.1303 0.5864 0.4547
Cs 0.4102 0.8953 0.9275
Cs 0.4136 0.8697 0.5453
Cs 0.4769 0.4769 0.7527
Cs 0.5231 0.5231 0.2473
Cs 0.5864 0.1303 0.4547
Cs 0.5898 0.1047 0.0725
Cs 0.8697 0.4136 0.5453
Cs 0.8953 0.4102 0.9275
Cs 0.9975 0.9975 0.6592
Rb 0.0000 0.0000 0.0000
Rb 0.1906 0.1906 0.2457
Rb 0.2813 0.2813 0.7442
Rb 0.7187 0.7187 0.2558
Rb 0.8094 0.8094 0.7543
Ga 0.3755 0.6245 0.5000
Ga 0.6245 0.3755 0.5000

Properties
Symmetry   C2/m
ΔE_f   0.5 eV per formula unit
E_tot   -1.09 eV/atom
Magnetization   0.0 μB/cell
Fermi-level density of states   15.9 states/eV/cell

=====

This record from Alexandria describes crystalline Co2PbW at its relaxed geometry. The functional is PBE-GGA.

a b c (Å): 4.5746 4.5746 2.8446
angles (deg): 90.00 90.00 90.00
Fractional coordinates of all 4 atoms:
Co 0.0000 0.5000 0.0000
Co 0.5000 0.0000 0.0000
Pb 0.0000 0.0000 0.5000
W 0.5000 0.5000 0.5000

Properties
Symmetry   P4/mmm
ΔE_f   2.6 eV per formula unit
E_tot   -7.07 eV/atom
Magnetization   0.0 μB/cell
Fermi-level density of states   4.5 states/eV/cell